## LaZnFeMoO6 (PBE with a Hubbard U)

Data for a relaxed LaZnFeMoO6 crystal.

Structure (extended XYZ):
```
20
Lattice="5.532 0.000 0.000 0.000 5.994 0.000 -5.475 0.000 7.762" Properties=species:S:1:pos:R:3 pbc="T T T"
La 0.000 1.068 0.000
La -2.737 4.926 3.881
Zn 0.020 0.799 3.919
Zn 2.757 5.195 0.038
Fe 2.862 1.657 1.993
Fe 0.125 4.337 5.874
Mo -2.609 1.687 5.806
Mo 0.129 4.307 1.925
O -0.839 2.794 1.605
O -3.576 3.201 5.486
O -1.882 1.306 3.912
O 0.855 4.688 0.031
O 2.384 1.444 0.001
O -0.354 4.551 3.882
O 1.117 0.226 2.338
O -1.620 5.768 6.219
O -0.914 2.563 6.254
O 1.823 3.431 2.373
O 1.293 0.412 5.388
O 4.030 5.582 1.507
```

Summary:
SG: Pc, No. 7
Final energy, eV/atom: -6.863
Spin magnetization, μB per formula unit: 4.987
Fermi-level density of states, states/eV/atom: 0.00
Volume, Å³ per atom: 12.9